! AsP3 | Alexandria | PBE | optimized geometry; values from VASP
&SYSTEM
  ibrav = 0, nat = 4, ntyp = 2
/
ATOMIC_SPECIES
P 30.97 P.upf
As 74.92 As.upf
ATOMIC_POSITIONS crystal
P 0.0000 0.0000 0.5000
P 0.5000 0.5000 0.7166
P 0.5000 0.5000 0.2834
As 0.0000 0.0000 0.0000
CELL_PARAMETERS angstrom
-0.5334 0.0297 2.7501
2.6057 -0.8214 -0.6197
2.7239 8.3096 0.4385
! Energy of formation = 2.661 eV/f.u.
! Energy = -4.555 eV/atom
! Fermi-level density of states = 2.130 states/eV/f.u.